Density functional theory data (SCAN) for CdAg5 at its PBEsol-relaxed geometry.

Cell lengths 2.897, 2.897, 12.161 Å; angles 90.00, 90.00, 90.00 degrees
Fractional positions:
Cd: 0.000 0.000 0.000
Ag: 0.000 0.000 0.337
Ag: 0.000 0.000 0.663
Ag: 0.500 0.500 0.172
Ag: 0.500 0.500 0.500
Ag: 0.500 0.500 0.828

Spin magnetization = 0.00 μB/cell
Calculated density = 10.60 g/cm³
Energy above the lowest structure with this stoichiometry = 17 meV/atom
ΔH_f (0 K) = -0.015 eV/atom
DFT total energy = -31.223 eV/atom
DOS at the Fermi energy = 1.54 states/eV/cell
Space group = P4/mmm

=====

Density functional theory data (SCAN) for CdAg at its PBEsol-relaxed geometry.

Cell lengths 3.303, 3.303, 3.303 Å; angles 90.00, 90.00, 90.00 degrees
Fractional positions:
Cd: 0.000 0.000 0.000
Ag: 0.500 0.500 0.500

Spin magnetization = 0.00 μB/cell
Calculated density = 10.15 g/cm³
ΔH_f (0 K) = -0.061 eV/atom
DFT total energy = -30.951 eV/atom
DOS at the Fermi energy = 0.61 states/eV/cell
Space group = Pm-3m

=====

Density functional theory data (SCAN) for CdAg at its PBEsol-relaxed geometry.

Cell lengths 4.256, 4.256, 5.482 Å; angles 90.00, 90.00, 120.00 degrees
Fractional positions:
Cd: 0.333 0.667 0.250
Cd: 0.667 0.333 0.750
Ag: 0.000 0.000 0.000
Ag: 0.000 0.000 0.500

Spin magnetization = 0.00 μB/cell
Calculated density = 8.51 g/cm³
ΔH_f (0 K) = 0.101 eV/atom
DFT total energy = -30.790 eV/atom
DOS at the Fermi energy = 1.28 states/eV/cell
Space group = P6_3/mmc

=====

Density functional theory data (SCAN) for CdAg3 at its PBEsol-relaxed geometry.

Cell lengths 5.037, 9.509, 5.752 Å; angles 90.00, 90.00, 90.00 degrees
Fractional positions:
Cd: 0.079 0.250 0.118
Cd: 0.421 0.750 0.618
Cd: 0.579 0.250 0.382
Cd: 0.921 0.750 0.882
Ag: 0.081 0.250 0.624
Ag: 0.248 0.501 0.373
Ag: 0.248 0.999 0.373
Ag: 0.252 0.001 0.873
Ag: 0.252 0.499 0.873
Ag: 0.419 0.750 0.124
Ag: 0.581 0.250 0.876
Ag: 0.748 0.501 0.127
Ag: 0.748 0.999 0.127
Ag: 0.752 0.001 0.627
Ag: 0.752 0.499 0.627
Ag: 0.919 0.750 0.376

Spin magnetization = 0.00 μB/cell
Calculated density = 10.51 g/cm³
ΔH_f (0 K) = -0.038 eV/atom
DFT total energy = -31.167 eV/atom
DOS at the Fermi energy = 4.26 states/eV/cell
Space group = Pnma

=====

Density functional theory data (SCAN) for CdAg3 at its PBEsol-relaxed geometry.

Cell lengths 2.952, 4.714, 4.948 Å; angles 90.00, 90.00, 90.00 degrees
Fractional positions:
Cd: 0.000 0.000 0.000
Ag: 0.000 0.500 0.655
Ag: 0.500 0.000 0.500
Ag: 0.500 0.500 0.160

Spin magnetization = 0.00 μB/cell
Calculated density = 10.51 g/cm³
ΔH_f (0 K) = -0.040 eV/atom
DFT total energy = -31.169 eV/atom
DOS at the Fermi energy = 0.97 states/eV/cell
Space group = Pmm2

=====

Density functional theory data (SCAN) for CdAg at its PBEsol-relaxed geometry.

Cell lengths 5.532, 5.532, 7.098 Å; angles 105.30, 105.30, 31.24 degrees
Fractional positions:
Cd: 0.000 0.000 0.000
Cd: 0.054 0.054 0.611
Cd: 0.374 0.374 0.274
Ag: 0.330 0.330 0.667
Ag: 0.659 0.659 0.336
Ag: 0.720 0.720 0.939

Spin magnetization = 0.00 μB/cell
Calculated density = 10.13 g/cm³
ΔH_f (0 K) = -0.050 eV/atom
DFT total energy = -30.941 eV/atom
DOS at the Fermi energy = 1.70 states/eV/cell
Space group = Cm

=====

Density functional theory data (SCAN) for CdAg at its PBEsol-relaxed geometry.

Cell lengths 9.449, 8.201, 5.672 Å; angles 90.00, 90.00, 90.00 degrees
Fractional positions:
Cd: 0.113 0.057 0.250
Cd: 0.113 0.443 0.750
Cd: 0.352 0.610 0.250
Cd: 0.352 0.890 0.750
Cd: 0.380 0.250 0.000
Cd: 0.380 0.250 0.500
Cd: 0.620 0.750 0.000
Cd: 0.620 0.750 0.500
Cd: 0.648 0.110 0.250
Cd: 0.648 0.390 0.750
Cd: 0.887 0.557 0.250
Cd: 0.887 0.943 0.750
Ag: 0.114 0.750 0.000
Ag: 0.114 0.750 0.500
Ag: 0.136 0.111 0.750
Ag: 0.136 0.389 0.250
Ag: 0.390 0.558 0.750
Ag: 0.390 0.942 0.250
Ag: 0.610 0.058 0.750
Ag: 0.610 0.442 0.250
Ag: 0.864 0.611 0.750
Ag: 0.864 0.889 0.250
Ag: 0.886 0.250 0.000
Ag: 0.886 0.250 0.500

Spin magnetization = 0.00 μB/cell
Calculated density = 9.99 g/cm³
ΔH_f (0 K) = -0.027 eV/atom
DFT total energy = -30.918 eV/atom
DOS at the Fermi energy = 5.70 states/eV/cell
Space group = Pbcm

=====

Density functional theory data (SCAN) for CdAg3 at its PBEsol-relaxed geometry.

Cell lengths 5.216, 5.216, 5.216 Å; angles 90.00, 90.00, 90.00 degrees
Fractional positions:
Cd: 0.000 0.000 0.000
Cd: 0.500 0.500 0.500
Ag: 0.000 0.250 0.500
Ag: 0.000 0.750 0.500
Ag: 0.250 0.500 0.000
Ag: 0.500 0.000 0.250
Ag: 0.500 0.000 0.750
Ag: 0.750 0.500 0.000

Spin magnetization = 0.00 μB/cell
Calculated density = 10.20 g/cm³
ΔH_f (0 K) = 0.050 eV/atom
DFT total energy = -31.079 eV/atom
DOS at the Fermi energy = 3.22 states/eV/cell
Space group = Pm-3n